RbReAs3 PBE-GGA relaxed; SG = Pm-3m; energy of formation = 0.275 eV per atom
1.0
-0.724 -4.928 -0.024
3.231 -0.492 3.759
-3.721 0.531 3.268
Re As Rb
1 3 1
direct
0.000 0.000 0.000
0.500 0.000 0.000
0.000 0.000 0.500
0.000 0.500 0.000
0.500 0.500 0.500